No. 1
Compound: AcCe12Os6
Source: Alexandria
Functional: GGA-PBE
Structure: relaxed

ρ	9.92	g cm⁻³
energy of formation from the pure elements	-0.0568	eV per atom
crystal system	trigonal

Unit cell a=8.3963 b=8.3963 c=8.3963 alpha=105.62 beta=105.62 gamma=105.62
Each line ends with the local moment (μB).
Sites, in units of the cell vectors:
Os1 0.7511 0.3071 0.7511  -0.05
Os2 0.2489 0.6929 0.2489  -0.05
Os3 0.7511 0.7511 0.3071  -0.05
Os4 0.2489 0.2489 0.6929  -0.05
Os5 0.6929 0.2489 0.2489  -0.05
Os6 0.3071 0.7511 0.7511  -0.05
Ce1 0.5000 0.1233 0.8767  0.32
Ce2 0.5000 0.8767 0.1233  0.32
Ce3 0.8767 0.1233 0.5000  0.32
Ce4 0.5544 0.5544 0.8268  0.42
Ce5 0.1233 0.5000 0.8767  0.32
Ce6 0.1233 0.8767 0.5000  0.32
Ce7 0.5544 0.8268 0.5544  0.42
Ce8 0.8767 0.5000 0.1233  0.32
Ce9 0.8268 0.5544 0.5544  0.42
Ce10 0.4456 0.4456 0.1732  0.42
Ce11 0.4456 0.1732 0.4456  0.42
Ce12 0.1732 0.4456 0.4456  0.42
Ac1 0.0000 0.0000 0.0000  0.05


No. 2
Compound: Ac2Ce3Os2
Source: Alexandria
Functional: GGA-PBE
Structure: relaxed

ρ	10.45	g cm⁻³
energy of formation from the pure elements	-0.1270	eV per atom
crystal system	monoclinic

Unit cell a=3.9812 b=6.4766 c=8.6769 alpha=71.09 beta=76.74 gamma=72.10
Sites, in units of the cell vectors:
Ce1 0.6247 0.1883 0.5624
Ce2 0.3753 0.8117 0.4376
Ce3 0.5000 0.0000 0.0000
Os1 0.1356 0.9674 0.7615
Os2 0.8644 0.0326 0.2385
Ac1 0.8422 0.5182 0.7975
Ac2 0.1578 0.4818 0.2025


No. 3
Compound: AcCe3Os
Source: Alexandria
Functional: GGA-PBE
Structure: relaxed

ρ	8.28	g cm⁻³
energy of formation from the pure elements	0.0455	eV per atom
crystal system	cubic

Unit cell a=5.5174 b=5.5174 c=5.5174 alpha=90.00 beta=90.00 gamma=90.00
Each line ends with the local moment (μB).
Sites, in units of the cell vectors:
Ac1 0.5000 0.5000 0.5000  0.07
Ce1 0.0000 0.0000 0.5000  0.50
Ce2 0.0000 0.5000 0.0000  0.50
Ce3 0.5000 0.0000 0.0000  0.50
Os1 0.0000 0.0000 0.0000  -0.06


No. 4
Compound: AcCeOsPd
Source: Alexandria
Functional: GGA-PBE
Structure: relaxed

ρ	11.57	g cm⁻³
energy of formation from the pure elements	-0.2463	eV per atom
crystal system	cubic

Unit cell a=5.1268 b=5.1268 c=5.1268 alpha=60.00 beta=60.00 gamma=60.00
Each line ends with the local moment (μB).
Sites, in units of the cell vectors:
Pd1 0.0000 0.0000 0.0000  -0.01
Ac1 0.7500 0.7500 0.7500  0.01
Ce1 0.2500 0.2500 0.2500  0.53
Os1 0.5000 0.5000 0.5000  -0.07


No. 5
Compound: AcCeZnOs
Source: Alexandria
Functional: GGA-PBE
Structure: relaxed

ρ	10.64	g cm⁻³
energy of formation from the pure elements	-0.0265	eV per atom
crystal system	cubic

Unit cell a=5.1603 b=5.1603 c=5.1603 alpha=60.00 beta=60.00 gamma=60.00
Each line ends with the local moment (μB).
Sites, in units of the cell vectors:
Ce1 0.0000 0.0000 0.0000  0.14
Os1 0.7500 0.7500 0.7500  -0.03
Ac1 0.5000 0.5000 0.5000  0.00
Zn1 0.2500 0.2500 0.2500  0.00


No. 6
Compound: AcCeP
Source: Alexandria
Functional: GGA-PBE
Structure: relaxed

ρ	7.41	g cm⁻³
energy of formation from the pure elements	-0.6541	eV per atom
crystal system	tetragonal

Unit cell a=3.7411 b=3.7411 c=6.8979 alpha=105.73 beta=105.73 gamma=90.00
Each line ends with the local moment (μB).
Sites, in units of the cell vectors:
Ac1 0.9820 0.9820 0.9640  0.08
Ce1 0.2375 0.2375 0.4750  0.83
P1 0.6305 0.6305 0.2610  -0.01